Entry from Alexandria via LeMat-Bulk: a geometry-optimized ThTlAgPt structure (PBE).

Unit cell a=7.1294 b=7.1294 c=7.1294 alpha=90.00 beta=90.00 gamma=90.00
Space group F-43m (No. 216)
One atom of each set of equivalent atoms:
Th: 0.0000 0.0000 0.0000 (multiplicity 4)
Tl: 0.0000 0.0000 0.5000 (multiplicity 4)
Ag: 0.2500 0.2500 0.2500 (multiplicity 4)
Pt: 0.2500 0.2500 0.7500 (multiplicity 4)

formation enthalpy at 0 K	-431	meV/atom

Entry from Alexandria via LeMat-Bulk: a geometry-optimized TmThAgPt structure (PBE).

Unit cell a=7.2159 b=7.2159 c=7.2159 alpha=90.00 beta=90.00 gamma=90.00
Space group F-43m (No. 216)
One atom of each set of equivalent atoms:
Tm: 0.0000 0.0000 0.0000 (multiplicity 4)
Th: 0.0000 0.0000 0.5000 (multiplicity 4)
Ag: 0.2500 0.2500 0.7500 (multiplicity 4)
Pt: 0.2500 0.2500 0.2500 (multiplicity 4)

formation enthalpy at 0 K	-645	meV/atom

Entry from Alexandria via LeMat-Bulk: a geometry-optimized ThZnAgPt structure (PBE).

Unit cell a=6.9371 b=6.9371 c=6.9371 alpha=90.00 beta=90.00 gamma=90.00
Space group F-43m (No. 216)
One atom of each set of equivalent atoms:
Th: 0.0000 0.0000 0.0000 (multiplicity 4)
Zn: 0.0000 0.0000 0.5000 (multiplicity 4)
Ag: 0.2500 0.2500 0.2500 (multiplicity 4)
Pt: 0.2500 0.2500 0.7500 (multiplicity 4)

formation enthalpy at 0 K	-477	meV/atom

Entry from Alexandria via LeMat-Bulk: a geometry-optimized TiAgPt2 structure (PBE).

Unit cell a=3.1627 b=3.1627 c=6.5689 alpha=90.00 beta=90.00 gamma=90.00
Space group P4/mmm (No. 123)
One atom of each set of equivalent atoms:
Ti: 0.0000 0.0000 0.0000 (multiplicity 1)
Ag: 0.0000 0.0000 0.5000 (multiplicity 1)
Pt: 0.5000 0.5000 0.2229 (multiplicity 2)

formation enthalpy at 0 K	-560	meV/atom

Entry from Alexandria via LeMat-Bulk: a geometry-optimized TiAg2Pt structure (PBE).

Unit cell a=6.4435 b=6.4435 c=6.4435 alpha=90.00 beta=90.00 gamma=90.00
Space group Fm-3m (No. 225)
One atom of each set of equivalent atoms:
Ti: 0.0000 0.0000 0.0000 (multiplicity 4)
Ag: 0.2500 0.2500 0.2500 (multiplicity 8)
Pt: 0.0000 0.0000 0.5000 (multiplicity 4)

formation enthalpy at 0 K	-32	meV/atom
distance to the lowest polymorph of the same formula	0.00	eV/f.u.

Entry from Alexandria via LeMat-Bulk: a geometry-optimized TiAgPt2 structure (PBE).

Unit cell a=7.1592 b=7.1592 c=5.5306 alpha=90.00 beta=90.00 gamma=90.00
Space group I-42d (No. 122)
One atom of each set of equivalent atoms:
Ti: 0.0000 0.0000 0.0000 (multiplicity 4)
Ag: 0.0000 0.0000 0.5000 (multiplicity 4)
Pt: 0.2184 0.2500 0.1250 (multiplicity 8)

formation enthalpy at 0 K	-230	meV/atom

Q: Which of these has the lowest formation enthalpy at 0 K?
A: TmThAgPt